Here is a relaxed structure of PmAg6F12 from Alexandria via LeMat-Bulk. Energies are from PBE-GGA.

Results
For the magnetization, the calculation gives 3.13 μB per cell. The value obtained for the uncorrected energy is -4.027 eV per atom.

Cell: 6.9590 6.9590 6.9590 Å, 100.82 100.82 100.82°
With the nearest neighbours (Å) after each atom.
Fractional positions:
Pm: 0.0000 0.0000 0.0000  6 F 2.26
Ag: 0.1429 0.6067 0.3187  4 F 2.24-2.32
Ag: 0.3187 0.1429 0.6067  4 F 2.24-2.32
Ag: 0.3933 0.6813 0.8571  4 F 2.24-2.32
Ag: 0.6067 0.3187 0.1429  4 F 2.24-2.32
Ag: 0.6813 0.8571 0.3933  4 F 2.24-2.32
Ag: 0.8571 0.3933 0.6813  4 F 2.24-2.32
F: 0.0293 0.6807 0.8986  1 Ag 2.24, 1 Pm 2.26
F: 0.1014 0.9707 0.3193  1 Ag 2.24, 1 Pm 2.26
F: 0.1743 0.4082 0.6248  3 Ag 2.26-2.32
F: 0.3193 0.1014 0.9707  1 Ag 2.24, 1 Pm 2.26
F: 0.3752 0.8257 0.5918  3 Ag 2.26-2.32
F: 0.4082 0.6248 0.1743  3 Ag 2.26-2.32
F: 0.5918 0.3752 0.8257  3 Ag 2.26-2.32
F: 0.6248 0.1743 0.4082  3 Ag 2.26-2.32
F: 0.6807 0.8986 0.0293  1 Ag 2.24, 1 Pm 2.26
F: 0.8257 0.5918 0.3752  3 Ag 2.26-2.32
F: 0.8986 0.0293 0.6807  1 Ag 2.24, 1 Pm 2.26
F: 0.9707 0.3193 0.1014  1 Ag 2.24, 1 Pm 2.26

---

Here is a relaxed structure of Pm2Ag5F12 from Alexandria via LeMat-Bulk. Energies are from PBE-GGA.

Results
For the magnetization, the calculation gives 1.08 μB per cell. The value obtained for the uncorrected energy is -4.703 eV per atom.

Cell: 7.6790 7.6790 6.7203 Å, 114.60 114.60 62.51°
With the nearest neighbours (Å) after each atom.
Fractional positions:
Pm: 0.2502 0.7498 0.0000  8 F 2.30-2.41
Pm: 0.7498 0.2502 0.0000  8 F 2.30-2.41
Ag: 0.0000 0.0000 0.5000  4 F 2.15
Ag: 0.2691 0.2691 0.5367  5 F 2.45-2.66
Ag: 0.2943 0.2943 0.1297  4 F 2.32-2.50
Ag: 0.7057 0.7057 0.8703  4 F 2.32-2.50
Ag: 0.7309 0.7309 0.4633  5 F 2.45-2.66
F: 0.0936 0.0936 0.9775  1 Ag 2.32, 2 Pm 2.39
F: 0.0938 0.7361 0.6088  1 Ag 2.15, 1 Pm 2.37
F: 0.1154 0.4954 0.8515  1 Pm 2.30, 2 Ag 2.45-2.46
F: 0.2639 0.9062 0.3912  1 Ag 2.15, 1 Pm 2.37
F: 0.4954 0.1154 0.8515  1 Pm 2.30, 2 Ag 2.45-2.46
F: 0.5000 0.5000 0.2025  2 Pm 2.41, 2 Ag 2.50-2.66
F: 0.5000 0.5000 0.7975  2 Pm 2.41, 2 Ag 2.50-2.66
F: 0.5046 0.8846 0.1485  1 Pm 2.30, 2 Ag 2.45-2.46
F: 0.7361 0.0938 0.6088  1 Ag 2.15, 1 Pm 2.37
F: 0.8846 0.5046 0.1485  1 Pm 2.30, 2 Ag 2.45-2.46
F: 0.9062 0.2639 0.3912  1 Ag 2.15, 1 Pm 2.37
F: 0.9064 0.9064 0.0225  1 Ag 2.32, 2 Pm 2.39

---

Here is a relaxed structure of Pm2AgF7 from Alexandria via LeMat-Bulk. Energies are from PBE-GGA.

Results
For the magnetization, the calculation gives 0.17 μB per cell. The value obtained for the uncorrected energy is -5.909 eV per atom.

Cell: 8.8159 8.8159 8.8159 Å, 152.43 152.43 39.39°
With the nearest neighbours (Å) after each atom.
Fractional positions:
Pm: 0.1494 0.1494 0.0000  5 F 2.27-2.48
Pm: 0.8506 0.8506 0.0000  5 F 2.27-2.48
Ag: 0.5000 0.5000 0.0000  12 F 2.66-2.97
F: 0.0000 0.0000 0.0000  2 Pm 2.48, 8 F 2.66
F: 0.0981 0.5981 0.5000  2 Pm 2.27, 1 F 2.52
F: 0.2500 0.7500 0.5000  2 F 2.52, 4 Pm 2.68
F: 0.4019 0.9019 0.5000  2 Pm 2.27, 1 F 2.52
F: 0.5981 0.0981 0.5000  2 Pm 2.27, 1 F 2.52
F: 0.7500 0.2500 0.5000  2 F 2.52, 4 Pm 2.68
F: 0.9019 0.4019 0.5000  2 Pm 2.27, 1 F 2.52

---

Here is a relaxed structure of PmAg3F8 from Alexandria via LeMat-Bulk. Energies are from PBE-GGA.

Results
For the magnetization, the calculation gives 2.15 μB per cell. The value obtained for the uncorrected energy is -4.397 eV per atom.

Cell: 5.5859 5.5859 5.5859 Å, 90.00 90.00 90.00°
With the nearest neighbours (Å) after each atom.
Fractional positions:
Pm: 0.0000 0.0000 0.0000  8 F 2.37
Ag: 0.0000 0.5000 0.5000  8 F 2.43
Ag: 0.5000 0.0000 0.5000  8 F 2.43
Ag: 0.5000 0.5000 0.0000  8 F 2.43
F: 0.2452 0.2452 0.2452  1 Pm 2.37, 3 Ag 2.43
F: 0.2452 0.2452 0.7548  1 Pm 2.37, 3 Ag 2.43
F: 0.2452 0.7548 0.2452  1 Pm 2.37, 3 Ag 2.43
F: 0.2452 0.7548 0.7548  1 Pm 2.37, 3 Ag 2.43
F: 0.7548 0.2452 0.2452  1 Pm 2.37, 3 Ag 2.43
F: 0.7548 0.2452 0.7548  1 Pm 2.37, 3 Ag 2.43
F: 0.7548 0.7548 0.2452  1 Pm 2.37, 3 Ag 2.43
F: 0.7548 0.7548 0.7548  1 Pm 2.37, 3 Ag 2.43

---

Here is a relaxed structure of PmAgF4 from Alexandria via LeMat-Bulk. Energies are from PBE-GGA.

Results
For the magnetization, the calculation gives 0.21 μB per cell. Its offset from the most stable computed form is 0.000 eV per atom. The value obtained for the uncorrected energy is -5.566 eV per atom.

Cell: 6.9329 6.9329 6.9329 Å, 130.69 130.69 72.30°
With the nearest neighbours (Å) after each atom.
Fractional positions:
Pm: 0.3750 0.6250 0.7500  8 F 2.38
Pm: 0.6250 0.3750 0.2500  8 F 2.38
Ag: 0.1250 0.8750 0.2500  8 F 2.58
Ag: 0.8750 0.1250 0.7500  8 F 2.58
F: 0.0000 0.2792 0.2792  2 Pm 2.38, 1 F 2.55, 2 Ag 2.58
F: 0.0000 0.7208 0.7208  2 Pm 2.38, 1 F 2.55, 2 Ag 2.58
F: 0.2792 0.0000 0.7792  2 Pm 2.38, 1 F 2.55, 2 Ag 2.58
F: 0.2792 0.5000 0.2792  2 Pm 2.38, 1 F 2.55, 2 Ag 2.58
F: 0.5000 0.2792 0.7792  2 Pm 2.38, 1 F 2.55, 2 Ag 2.58
F: 0.5000 0.7208 0.2208  2 Pm 2.38, 1 F 2.55, 2 Ag 2.58
F: 0.7208 0.0000 0.2208  2 Pm 2.38, 1 F 2.55, 2 Ag 2.58
F: 0.7208 0.5000 0.7208  2 Pm 2.38, 1 F 2.55, 2 Ag 2.58

---

Here is a relaxed structure of Pm4Ag2F from Alexandria via LeMat-Bulk. Energies are from PBE-GGA.

Results
For the magnetization, the calculation gives 0.00 μB per cell. The value obtained for the uncorrected energy is -4.551 eV per atom.

Cell: 8.4143 8.4143 8.4143 Å, 146.04 146.04 48.79°
With the nearest neighbours (Å) after each atom.
Fractional positions:
Pm: 0.0000 0.5000 0.5000  2 F 2.46
Pm: 0.1894 0.1894 0.0000  1 Ag 2.85, 1 F 2.90
Pm: 0.5000 0.0000 0.5000  2 F 2.46
Pm: 0.8106 0.8106 0.0000  1 Ag 2.85, 1 F 2.90
Ag: 0.3757 0.3757 0.0000  5 Pm 2.85-3.11
Ag: 0.6243 0.6243 0.0000  5 Pm 2.85-3.11
F: 0.0000 0.0000 0.0000  4 Pm 2.46

---

Here is a relaxed structure of PmAgF5 from Alexandria via LeMat-Bulk. Energies are from PBE-GGA.

Results
For the magnetization, the calculation gives 2.03 μB per cell. The value obtained for the uncorrected energy is -5.172 eV per atom.

Cell: 5.0765 5.0765 7.6791 Å, 94.02 94.02 85.84°
With the nearest neighbours (Å) after each atom.
Fractional positions:
Pm: 0.0113 0.9887 0.7500  7 F 2.30-2.41
Pm: 0.9887 0.0113 0.2500  7 F 2.30-2.41
Ag: 0.5000 0.5000 0.0000  4 F 2.11-2.24
Ag: 0.5000 0.5000 0.5000  4 F 2.11-2.24
F: 0.0802 0.2391 0.5140  2 Pm 2.30-2.34
F: 0.1484 0.5512 0.8391  1 Ag 2.11
F: 0.2391 0.0802 0.0140  2 Pm 2.30-2.34
F: 0.3319 0.6681 0.2500  2 Ag 2.24, 1 Pm 2.37
F: 0.4488 0.8516 0.6609  1 Ag 2.11
F: 0.5512 0.1484 0.3391  1 Ag 2.11
F: 0.6681 0.3319 0.7500  2 Ag 2.24, 1 Pm 2.37
F: 0.7609 0.9198 0.9860  2 Pm 2.30-2.34
F: 0.8516 0.4488 0.1609  1 Ag 2.11
F: 0.9198 0.7609 0.4860  2 Pm 2.30-2.34

---

Here is a relaxed structure of Pm4AgF12 from Alexandria via LeMat-Bulk. Energies are from PBE-GGA.

Results
For the magnetization, the calculation gives 1.02 μB per cell. The value obtained for the uncorrected energy is -6.270 eV per atom.

Cell: 7.8994 7.8994 7.8994 Å, 109.49 109.48 109.45°
With the nearest neighbours (Å) after each atom.
Fractional positions:
Pm: 0.0000 0.0000 0.5000  6 F 2.28
Pm: 0.0000 0.5000 0.0000  6 F 2.28
Pm: 0.5000 0.0000 0.0000  6 F 2.28
Pm: 0.5000 0.5000 0.5000  6 F 2.28
Ag: 0.0000 0.0000 0.0000  12 F 3.26-3.27
F: 0.0029 0.2544 0.7485  2 Pm 2.28
F: 0.2522 0.5066 0.2544  2 Pm 2.28
F: 0.2522 0.9978 0.7456  2 Pm 2.28
F: 0.2533 0.2519 0.5052  2 Pm 2.28
F: 0.2533 0.7481 0.0015  2 Pm 2.28
F: 0.4941 0.7456 0.7485  2 Pm 2.28
F: 0.5059 0.2544 0.2515  2 Pm 2.28
F: 0.7467 0.2519 0.9985  2 Pm 2.28
F: 0.7467 0.7481 0.4948  2 Pm 2.28
F: 0.7478 0.0022 0.2544  2 Pm 2.28
F: 0.7478 0.4934 0.7456  2 Pm 2.28
F: 0.9971 0.7456 0.2515  2 Pm 2.28

---

Here is a relaxed structure of Pm4Ag6F19 from Alexandria via LeMat-Bulk. Energies are from PBE-GGA.

Results
For the magnetization, the calculation gives 1.02 μB per cell. The value obtained for the uncorrected energy is -5.130 eV per atom.

Cell: 8.6641 8.6641 8.6641 Å, 109.47 109.47 109.47°
With the nearest neighbours (Å) after each atom.
Fractional positions:
Pm: 0.0000 0.0000 0.7131  7 F 2.26-2.49
Pm: 0.0000 0.7131 0.0000  7 F 2.26-2.49
Pm: 0.2869 0.2869 0.2869  7 F 2.26-2.49
Pm: 0.7131 0.0000 0.0000  7 F 2.26-2.49
Ag: 0.1686 0.6686 0.5000  4 F 2.29-2.39
Ag: 0.3314 0.5000 0.8314  4 F 2.29-2.39
Ag: 0.5000 0.1686 0.6686  4 F 2.29-2.39
Ag: 0.5000 0.8314 0.3314  4 F 2.29-2.39
Ag: 0.6686 0.5000 0.1686  4 F 2.29-2.39
Ag: 0.8314 0.3314 0.5000  4 F 2.29-2.39
F: 0.0000 0.0000 0.0000  4 Pm 2.49, 6 F 2.64
F: 0.0000 0.2642 0.2642  2 Pm 2.36, 1 F 2.64
F: 0.0000 0.7358 0.7358  2 Pm 2.36, 1 F 2.64
F: 0.0200 0.2307 0.6395  1 Pm 2.26, 2 Ag 2.29-2.39
F: 0.2106 0.9800 0.6195  1 Pm 2.26, 2 Ag 2.29-2.39
F: 0.2307 0.6395 0.0200  1 Pm 2.26, 2 Ag 2.29-2.39
F: 0.2642 0.0000 0.2642  2 Pm 2.36, 1 F 2.64
F: 0.2642 0.2642 0.0000  2 Pm 2.36, 1 F 2.64
F: 0.3605 0.5912 0.3805  1 Pm 2.26, 2 Ag 2.29-2.39
F: 0.3805 0.3605 0.5912  1 Pm 2.26, 2 Ag 2.29-2.39
F: 0.4088 0.7693 0.7894  1 Pm 2.26, 2 Ag 2.29-2.39
F: 0.5912 0.3805 0.3605  1 Pm 2.26, 2 Ag 2.29-2.39
F: 0.6195 0.2106 0.9800  1 Pm 2.26, 2 Ag 2.29-2.39
F: 0.6395 0.0200 0.2307  1 Pm 2.26, 2 Ag 2.29-2.39
F: 0.7358 0.0000 0.7358  2 Pm 2.36, 1 F 2.64
F: 0.7358 0.7358 0.0000  2 Pm 2.36, 1 F 2.64
F: 0.7693 0.7894 0.4088  1 Pm 2.26, 2 Ag 2.29-2.39
F: 0.7894 0.4088 0.7693  1 Pm 2.26, 2 Ag 2.29-2.39
F: 0.9800 0.6195 0.2106  1 Pm 2.26, 2 Ag 2.29-2.39

---

Here is a relaxed structure of PmAgF4 from Alexandria via LeMat-Bulk. Energies are from PBE-GGA.

Results
For the magnetization, the calculation gives 0.00 μB per cell. Its offset from the most stable computed form is 0.068 eV per atom. The value obtained for the uncorrected energy is -5.498 eV per atom.

Cell: 6.6636 6.6636 6.6636 Å, 109.60 109.60 109.22°
With the nearest neighbours (Å) after each atom.
Fractional positions:
Pm: 0.0000 0.0000 0.0000  6 F 2.23-2.32
Pm: 0.7500 0.2500 0.5000  6 F 2.23-2.32
Ag: 0.2688 0.7688 0.5000  2 F 2.28
Ag: 0.5188 0.5188 0.0000  2 F 2.28
F: 0.0225 0.2241 0.7984  2 Pm 2.30-2.32
F: 0.4256 0.2241 0.2016  2 Pm 2.30-2.32
F: 0.5443 0.2480 0.7037  1 Pm 2.23, 1 Ag 2.28
F: 0.5443 0.8406 0.2963  1 Pm 2.23, 1 Ag 2.28
F: 0.5906 0.7943 0.7963  1 Pm 2.23, 1 Ag 2.28
F: 0.9741 0.2725 0.2984  2 Pm 2.30-2.32
F: 0.9741 0.6756 0.7016  2 Pm 2.30-2.32
F: 0.9980 0.7943 0.2037  1 Pm 2.23, 1 Ag 2.28

---

Here is a relaxed structure of RbPmAgF6 from Alexandria via LeMat-Bulk. Energies are from PBE-GGA.

Results
For the magnetization, the calculation gives 0.00 μB per cell. The value obtained for the uncorrected energy is -4.953 eV per atom.

Cell: 8.4551 8.4551 8.4551 Å, 123.75 119.47 87.28°
With the nearest neighbours (Å) after each atom.
Fractional positions:
Rb: 0.2672 0.0172 0.2500  5 F 2.82-3.10
Rb: 0.7328 0.9828 0.7500  5 F 2.82-3.10
Pm: 0.0000 0.5000 0.5000  6 F 2.27-2.29
Pm: 0.5000 0.5000 0.0000  6 F 2.27-2.29
Ag: 0.0000 0.0000 0.5000  2 F 2.04
Ag: 0.0000 0.5000 0.0000  2 F 2.04
F: 0.0356 0.3860 0.2084  1 Pm 2.27, 1 Ag 2.34
F: 0.0356 0.8271 0.6496  1 Pm 2.27, 1 Ag 2.34
F: 0.0368 0.7868 0.2500  2 Ag 2.04
F: 0.3189 0.5689 0.7500  2 Pm 2.29
F: 0.3225 0.1729 0.7084  1 Pm 2.27, 1 Ag 2.34
F: 0.3225 0.6140 0.1496  1 Pm 2.27, 1 Ag 2.34
F: 0.6775 0.3860 0.8504  1 Pm 2.27, 1 Ag 2.34
F: 0.6775 0.8271 0.2916  1 Pm 2.27, 1 Ag 2.34
F: 0.6811 0.4311 0.2500  2 Pm 2.29
F: 0.9632 0.2132 0.7500  2 Ag 2.04
F: 0.9644 0.1729 0.3504  1 Pm 2.27, 1 Ag 2.34
F: 0.9644 0.6140 0.7916  1 Pm 2.27, 1 Ag 2.34

---

Here is a relaxed structure of Rb2PmAgF6 from Alexandria via LeMat-Bulk. Energies are from PBE-GGA.

Results
For the magnetization, the calculation gives 0.00 μB per cell. The value obtained for the uncorrected energy is -4.975 eV per atom.

Cell: 6.6553 6.6553 6.6553 Å, 60.00 60.00 60.00°
With the nearest neighbours (Å) after each atom.
Fractional positions:
Rb: 0.2500 0.2500 0.2500  12 F 3.33
Rb: 0.7500 0.7500 0.7500  12 F 3.33
Pm: 0.0000 0.0000 0.0000  6 F 2.25
Ag: 0.5000 0.5000 0.5000  6 F 2.45
F: 0.2392 0.2392 0.7608  1 Pm 2.25, 1 Ag 2.45
F: 0.2392 0.7608 0.2392  1 Pm 2.25, 1 Ag 2.45
F: 0.2392 0.7608 0.7608  1 Pm 2.25, 1 Ag 2.45
F: 0.7608 0.2392 0.2392  1 Pm 2.25, 1 Ag 2.45
F: 0.7608 0.2392 0.7608  1 Pm 2.25, 1 Ag 2.45
F: 0.7608 0.7608 0.2392  1 Pm 2.25, 1 Ag 2.45

---

Q: Which value of uncorrected energy does entry 3 give?
A: -5.909 eV per atom

---

Q: magnetization of number 1 (PmAg6F12)?
A: 3.13 μB per cell

---

Q: Among the records above, which one has the highest uncorrected energy?
A: PmAg6F12